# K4TaS4, relaxed, DFT PBE
data_K4TaS4
_chemical_formula_sum 'K8 Ta2 S8'
_cell_length_a 9.026
_cell_length_b 9.026
_cell_length_c 6.948
_cell_angle_alpha 90.00
_cell_angle_beta 90.00
_cell_angle_gamma 90.00
_space_group_name_H-M_alt 'P 42/n m c'
_space_group_IT_number 137
loop_
_space_group_symop_operation_xyz
'x,y,z'
'-x,-y,-z'
'-y+1/2,x,z+1/2'
'y+1/2,-x,-z+1/2'
'-x+1/2,-y+1/2,z'
'x+1/2,y+1/2,-z'
'y,-x+1/2,z+1/2'
'-y,x+1/2,-z+1/2'
'x+1/2,-y,-z'
'-x+1/2,y,z'
'-y,-x,-z+1/2'
'y,x,z+1/2'
'-x,y+1/2,-z'
'x,-y+1/2,z'
'y+1/2,x+1/2,-z+1/2'
'-y+1/2,-x+1/2,z+1/2'
loop_
_atom_site_label
_atom_site_type_symbol
_atom_site_fract_x
_atom_site_fract_y
_atom_site_fract_z
K1 K 0.027 0.250 0.107
Ta1 Ta 0.250 0.750 0.250
S1 S 0.031 0.750 0.431
# Final energy in eV/cell: -85.43
# Uncorrected formation energy in meV/atom: -1107